A plane-wave DFT calculation with PBE was carried out for an optimized crystal structure of TbNiAu.

a = 4.4508 Å, b = 4.4508 Å, c = 4.4508 Å
α = 60.00°, β = 60.00°, γ = 60.00°
With the nearest neighbours (Å) after each atom.
Positions (direct):
Ni (0.0000, 0.0000, 0.0000)  4 Tb 2.73, 4 Au 2.73
Tb (0.7500, 0.7500, 0.7500)  4 Ni 2.73
Au (0.2500, 0.2500, 0.2500)  4 Ni 2.73

Calculated values
total energy: -4.965 eV per atom
energy of formation from the pure elements: -0.477 eV per atom
ρ: 11043 kg/m3
magnetization: 0.00 μB per formula unit
space-group type: F-43m